No. 1
CrBiHOs2: optimized geometry, PBE-GGA.

abc: 3.9546 3.9546 4.5553
angles: 90.00 90.00 90.00
Last column: nearest neighbours and their distance in Å.
Space group P4/mmm (No. 123)
Inequivalent atoms, fractional coordinates:
Cr (0.0000, 0.0000, 0.0000) [1 per cell]  4 Bi 2.80, 8 Os 3.02
Bi (0.5000, 0.5000, 0.0000) [1 per cell]  2 H 2.28
H (0.5000, 0.5000, 0.5000) [1 per cell]  4 Os 1.98
Os (0.0000, 0.5000, 0.5000) [2 per cell]  2 H 1.98

Output
Its total magnetization is 3.1 Bohr magnetons per cell. For the total DFT energy (no corrections), the calculation gives -35.08 eV/cell.

No. 2
Ce3Si2Au5: optimized geometry, PBE-GGA.

abc: 10.2842 14.7721 6.0759
angles: 90.00 90.00 90.00
Last column: nearest neighbours and their distance in Å.
Space group Ibam (No. 72)
Inequivalent atoms, fractional coordinates:
Ce (0.0000, 0.0000, 0.2500) [4 per cell]  4 Si 2.94, 2 Ce 3.04, 2 Au 3.12
Ce (0.2127, 0.3454, 0.0000) [8 per cell]  10 Au 3.24-3.52, 3 Si 3.24-3.33
Si (0.1608, 0.1289, 0.0000) [8 per cell]  3 Au 2.42-2.55
Au (0.0000, 0.2113, 0.2500) [8 per cell]  2 Si 2.55, 2 Au 2.84
Au (0.0000, 0.5000, 0.2500) [4 per cell]  6 Au 2.83-3.04
Au (0.1053, 0.3560, 0.5000) [8 per cell]  1 Si 2.42

Output
The uncorrected formation energy is -0.4447 eV per atom. Its total magnetization is 12.1 Bohr magnetons per cell.

No. 3
BaZrCd: optimized geometry, PBE-GGA.

abc: 5.1142 5.9440 6.8657
angles: 79.58 89.81 89.93
Last column: nearest neighbours and their distance in Å.
Space group P-1 (No. 2)
Inequivalent atoms, fractional coordinates:
Ba (0.2505, 0.2424, 0.0943) [2 per cell]  4 Cd 3.47-3.63, 1 Zr 3.85
Zr (0.2502, 0.5967, 0.5112) [2 per cell]  2 Zr 2.82, 2 Cd 2.98-3.10
Cd (0.2496, 0.0866, 0.6069) [2 per cell]  4 Zr 2.98-3.19, 2 Cd 3.21

Output
Its total magnetization is 0.0 Bohr magnetons per cell. The calculation puts the formation energy from the elements at 170 meV/atom. The excess energy over the best structure of this formula in the dataset is 81 meV per atom.

No. 4
LiLuVTc: optimized geometry, PBE-GGA.

abc: 6.4205 6.4205 6.4205
angles: 90.00 90.00 90.00
Last column: nearest neighbours and their distance in Å.
Space group F-43m (No. 216)
Inequivalent atoms, fractional coordinates:
Li (0.0000, 0.0000, 0.0000) [4 per cell]  4 V 2.78, 4 Lu 2.78
Lu (0.2500, 0.2500, 0.2500) [4 per cell]  4 Li 2.78, 4 Tc 2.78
V (0.2500, 0.2500, 0.7500) [4 per cell]  4 Tc 2.78, 4 Li 2.78
Tc (0.0000, 0.0000, 0.5000) [4 per cell]  4 Lu 2.78, 4 V 2.78

Output
Its total magnetization is 5.2 Bohr magnetons per cell. The calculation puts the formation energy from the elements at 88 meV/atom.